(1)
Here is a relaxed structure of Pu2BiSb4 from the Alexandria database. Energies are from GGA-PBE.

The structure in POSCAR format:
```
Pu2BiSb4
1.0
4.348 0.000 0.000
0.000 4.348 0.000
0.000 0.000 11.042
Pu Bi Sb
2 1 4
direct
0.000 0.500 0.220 Pu
0.500 0.000 0.780 Pu
0.000 0.000 0.500 Bi
0.000 0.000 0.000 Sb
0.000 0.500 0.709 Sb
0.500 0.000 0.291 Sb
0.500 0.500 0.000 Sb
```

Summary:
- Magnetization: 10.76 μB per formula unit
- ΔE_f (raw): -243 kJ/mol of formula units
- Calculated total energy: -51.6 eV for the cell shown



(2)
Here is a relaxed structure of RbTaCl2 from the Alexandria database. Energies are from GGA-PBE.

The structure in POSCAR format:
```
RbTaCl2
1.0
3.421 0.000 0.000
-1.711 2.963 0.000
0.000 0.000 28.809
Rb Ta Cl
3 3 6
direct
0.000 0.000 0.000 Rb
0.333 0.667 0.667 Rb
0.667 0.333 0.333 Rb
0.000 0.000 0.500 Ta
0.333 0.667 0.167 Ta
0.667 0.333 0.833 Ta
0.000 0.000 0.416 Cl
0.000 0.000 0.584 Cl
0.333 0.667 0.083 Cl
0.333 0.667 0.250 Cl
0.667 0.333 0.750 Cl
0.667 0.333 0.917 Cl
```

Summary:
- Magnetization: 0.10 μB per formula unit
- ΔE_f (raw): -163 kJ/mol of formula units
- Calculated total energy: -54.6 eV for the cell shown
- Relative energy among the computed polymorphs: 0.00 eV per formula unit



- What is the calculated total energy in the second record?
  -54.6 eV for the cell shown